## Ta2HgRu2 (PBE-GGA)

Data for an optimized crystal structure of Ta2HgRu2.

abc: 7.584 7.584 3.033
angles: 90.00 90.00 90.00
Fractional positions:
Ta 0.155 0.655 0.500
Ta 0.845 0.345 0.500
Ru 0.138 0.362 0.000
Hg 0.500 0.500 0.000
Ru 0.862 0.638 0.000
Ta 0.345 0.155 0.500
Ru 0.362 0.862 0.000
Ta 0.655 0.845 0.500
Ru 0.638 0.138 0.000
Hg 0.000 0.000 0.000

- E_tot: -0.3148 hartree per atom
- Space-group type: P4/mbm
- Energy above the lowest structure with this stoichiometry: 0 meV/atom